First-principles (PBE) data for a geometry-optimized TbDyFe structure, as listed in Alexandria.

Properties
SG: No. 64
Polymorph energy (0 for the lowest one) (eV per atom): 0.007
Calculated volume (A^3/atom): 24.868

a = 6.851 Å, b = 6.851 Å, c = 7.341 Å
α = 90.00°, β = 90.00°, γ = 120.00°
Site moments in Bohr magnetons follow the coordinates.
Positions (direct):
Tb  0.302  0.605  0.113  -0.15
Tb  0.802  0.605  0.387  -0.15
Tb  0.198  0.395  0.613  -0.15
Tb  0.698  0.395  0.887  -0.15
Dy  0.206  0.911  0.750  -0.27
Dy  0.706  0.911  0.750  -0.27
Dy  0.294  0.089  0.250  -0.27
Dy  0.794  0.089  0.250  -0.27
Fe  0.908  0.815  0.044  1.32
Fe  0.092  0.185  0.956  1.32
Fe  0.408  0.815  0.456  1.32
Fe  0.592  0.185  0.544  1.32

First-principles (PBE) data for a geometry-optimized TbDyFe structure, as listed in Alexandria.

Properties
SG: No. 107
Polymorph energy (0 for the lowest one) (eV per atom): 0.000
Calculated volume (A^3/atom): 23.797

a = 3.328 Å, b = 3.328 Å, c = 6.861 Å
α = 104.04°, β = 104.04°, γ = 90.00°
Positions (direct):
Dy  0.292  0.292  0.583
Fe  0.667  0.667  0.334
Tb  0.041  0.041  0.083

First-principles (PBE) data for a geometry-optimized TbDyFe4 structure, as listed in Alexandria.

Properties
DFT total energy (eV per atom): -7.2516
SG: No. 216
Calculated volume (A^3/atom): 16.036

a = 5.143 Å, b = 5.143 Å, c = 5.143 Å
α = 60.00°, β = 60.00°, γ = 60.00°
Site moments in Bohr magnetons follow the coordinates.
Positions (direct):
Fe  0.625  0.125  0.625  2.06
Fe  0.625  0.625  0.625  2.06
Fe  0.625  0.625  0.125  2.06
Fe  0.125  0.625  0.625  2.06
Tb  0.000  0.000  0.000  -0.51
Dy  0.250  0.250  0.250  -0.54

First-principles (PBE) data for a geometry-optimized TbDyFe10 structure, as listed in Alexandria.

Properties
DFT total energy (eV per atom): -7.8656
SG: No. 47
Calculated volume (A^3/atom): 14.211

a = 3.946 Å, b = 5.004 Å, c = 8.636 Å
α = 90.00°, β = 90.00°, γ = 90.00°
Site moments in Bohr magnetons follow the coordinates.
Positions (direct):
Fe  0.500  0.250  0.750  2.03
Fe  0.500  0.250  0.250  2.03
Fe  0.000  0.500  0.833  2.09
Fe  0.000  0.000  0.334  2.08
Fe  0.500  0.500  0.000  2.00
Fe  0.500  0.000  0.500  1.98
Fe  0.500  0.750  0.250  2.03
Fe  0.000  0.500  0.167  2.09
Fe  0.000  0.000  0.666  2.08
Fe  0.500  0.750  0.750  2.03
Dy  0.000  0.500  0.500  -0.40
Tb  0.000  0.000  0.000  -0.39

First-principles (PBE) data for a geometry-optimized Dy2Fe3Tc structure, as listed in Alexandria.

Properties
DFT total energy (eV per atom): -7.5660
SG: No. 166
Calculated volume (A^3/atom): 16.550

a = 5.207 Å, b = 5.207 Å, c = 5.187 Å
α = 90.05°, β = 120.05°, γ = 120.01°
Site moments in Bohr magnetons follow the coordinates.
Positions (direct):
Dy  0.749  0.375  0.124  -0.38
Dy  0.251  0.625  0.876  -0.38
Fe  0.500  0.500  0.500  1.88
Fe  0.000  0.000  0.500  1.88
Fe  0.500  0.000  0.500  1.89
Tc  0.000  0.000  0.000  0.16

First-principles (PBE) data for a geometry-optimized DyFeTc structure, as listed in Alexandria.

Properties
SG: No. 74
Polymorph energy (0 for the lowest one) (eV per atom): 0.000
Calculated volume (A^3/atom): 17.396

a = 5.317 Å, b = 5.329 Å, c = 5.329 Å
α = 57.14°, β = 60.07°, γ = 60.07°
Site moments in Bohr magnetons follow the coordinates.
Positions (direct):
Tc  0.500  0.500  0.000  0.19
Tc  0.500  0.000  0.500  0.19
Fe  0.000  0.000  0.000  2.12
Fe  0.500  0.000  0.000  2.12
Dy  0.127  0.623  0.623  -0.27
Dy  0.873  0.377  0.377  -0.27

First-principles (PBE) data for a geometry-optimized DyFe3Tc3 structure, as listed in Alexandria.

Properties
DFT total energy (eV per atom): -8.0686
SG: No. 223
Calculated volume (A^3/atom): 18.461

a = 6.370 Å, b = 6.370 Å, c = 6.370 Å
α = 90.00°, β = 90.00°, γ = 90.00°
Positions (direct):
Fe  0.000  0.500  0.750
Fe  0.750  0.000  0.500
Fe  0.000  0.500  0.250
Fe  0.250  0.000  0.500
Fe  0.500  0.250  0.000
Fe  0.500  0.750  0.000
Tc  0.000  0.750  0.500
Tc  0.000  0.250  0.500
Tc  0.750  0.500  0.000
Tc  0.500  0.000  0.250
Tc  0.500  0.000  0.750
Tc  0.250  0.500  0.000
Dy  0.000  0.000  0.000
Dy  0.500  0.500  0.500

First-principles (PBE) data for a geometry-optimized DyFe4Tc structure, as listed in Alexandria.

Properties
DFT total energy (eV per atom): -8.0412
SG: No. 216
Calculated volume (A^3/atom): 14.169

a = 4.936 Å, b = 4.936 Å, c = 4.936 Å
α = 60.00°, β = 60.00°, γ = 60.00°
Site moments in Bohr magnetons follow the coordinates.
Positions (direct):
Fe  0.624  0.129  0.624  2.08
Fe  0.624  0.624  0.129  2.08
Fe  0.624  0.624  0.624  2.08
Fe  0.129  0.624  0.624  2.08
Dy  0.000  0.000  0.000  -0.20
Tc  0.250  0.250  0.250  0.65

First-principles (PBE) data for a geometry-optimized DyFeTc structure, as listed in Alexandria.

Properties
SG: No. 12
Polymorph energy (0 for the lowest one) (eV per atom): 0.325
Calculated volume (A^3/atom): 17.958

a = 5.532 Å, b = 5.532 Å, c = 5.501 Å
α = 81.61°, β = 128.62°, γ = 121.63°
Site moments in Bohr magnetons follow the coordinates.
Positions (direct):
Tc  0.500  0.500  0.500  0.30
Tc  0.000  0.000  0.500  0.30
Fe  0.249  0.990  0.239  2.40
Fe  0.751  0.010  0.761  2.40
Dy  0.251  0.625  0.876  -0.12
Dy  0.749  0.375  0.124  -0.12

First-principles (PBE) data for a geometry-optimized DyThFeTc structure, as listed in Alexandria.

Properties
DFT total energy (eV per atom): -7.6591
SG: No. 216
Calculated volume (A^3/atom): 20.805

a = 4.901 Å, b = 4.901 Å, c = 4.901 Å
α = 60.00°, β = 60.00°, γ = 60.00°
Site moments in Bohr magnetons follow the coordinates.
Positions (direct):
Fe  0.750  0.750  0.750  1.92
Dy  0.000  0.000  0.000  -0.19
Tc  0.250  0.250  0.250  0.23
Th  0.500  0.500  0.500  -0.18

First-principles (PBE) data for a geometry-optimized Dy6Fe2Te structure, as listed in Alexandria.

Properties
SG: No. 71
Uncorrected formation energy (eV per atom): -0.264
Calculated volume (A^3/atom): 25.562

a = 8.430 Å, b = 8.430 Å, c = 8.430 Å
α = 106.33°, β = 111.02°, γ = 111.10°
Site moments in Bohr magnetons follow the coordinates.
Positions (direct):
Fe  0.500  0.606  0.106  -0.95
Fe  0.500  0.394  0.894  -0.95
Fe  0.384  0.000  0.384  1.20
Fe  0.616  0.000  0.616  1.20
Te  0.000  0.000  0.000  0.02
Te  0.000  0.500  0.500  0.00
Dy  0.692  0.378  0.686  -0.06
Dy  0.900  0.715  0.185  0.07
Dy  0.470  0.285  0.185  0.07
Dy  0.100  0.285  0.815  0.07
Dy  0.530  0.715  0.815  0.07
Dy  0.785  0.768  0.553  0.00
Dy  0.215  0.232  0.447  0.00
Dy  0.215  0.768  0.983  0.00
Dy  0.308  0.994  0.686  -0.06
Dy  0.308  0.622  0.314  -0.06
Dy  0.785  0.232  0.017  0.00
Dy  0.692  0.006  0.314  -0.06

First-principles (PBE) data for a geometry-optimized Dy3FeTe structure, as listed in Alexandria.

Properties
SG: No. 11
Uncorrected formation energy (eV per atom): -0.559
Calculated volume (A^3/atom): 26.074

a = 3.947 Å, b = 8.424 Å, c = 8.236 Å
α = 107.82°, β = 90.00°, γ = 90.00°
Site moments in Bohr magnetons follow the coordinates.
Positions (direct):
Dy  0.750  0.410  0.682  -0.13
Dy  0.750  0.242  0.069  -0.14
Dy  0.750  0.924  0.307  0.00
Dy  0.250  0.758  0.931  -0.14
Dy  0.250  0.076  0.693  0.00
Dy  0.250  0.590  0.318  -0.13
Fe  0.250  0.433  0.948  1.33
Fe  0.750  0.567  0.052  1.33
Te  0.750  0.767  0.621  0.00
Te  0.250  0.233  0.379  0.00

no.,DOS(E_F) (states/eV per cell)
1,13.54
2,1.87
3,8.85
4,10.90
5,7.65
6,5.90
7,21.64
8,7.07
9,5.95
10,6.28
11,14.43
12,9.98